No. 1
Here is a relaxed Hf4TlC crystal from Alexandria. Energies are from PBE-GGA.

As for the formation energy from the elements: -0.051 eV per atom.

Cell and atoms, written as POSCAR:
```
Hf4TlC
1.0
8.293 0.000 0.000
0.000 5.193 0.000
-2.571 0.000 6.236
Hf Tl C
8 2 2
Direct
0.111 0.249 0.302 Hf
0.111 0.251 0.802 Hf
0.225 0.743 0.111 Hf
0.225 0.757 0.611 Hf
0.775 0.243 0.389 Hf
0.775 0.257 0.889 Hf
0.889 0.749 0.198 Hf
0.889 0.751 0.698 Hf
0.500 0.000 0.000 Tl
0.500 0.500 0.500 Tl
0.000 0.000 0.000 C
0.000 0.500 0.500 C
```

***

No. 2
Here is a relaxed YTeO2F crystal from Alexandria. Energies are from PBE-GGA.

As for the uncorrected formation energy: -1.09 eV per atom.

Cell and atoms, written as POSCAR:
```
YTeO2F
1.0
4.240 0.000 0.000
0.000 4.240 0.000
0.000 0.000 4.833
Y Te O F
1 1 2 1
Direct
0.000 0.000 0.000 Y
0.500 0.500 0.500 Te
0.000 0.500 0.500 O
0.500 0.000 0.500 O
0.500 0.500 0.000 F
```